Density functional theory data (SCAN) for a PBEsol-optimized structure of YSb2Pt.

CIF file:
```
data_YSb2Pt
_symmetry_space_group_name_H-M 'P 1'
_symmetry_Int_Tables_number 1
_cell_length_a 5.755
_cell_length_b 5.755
_cell_length_c 4.992
_cell_angle_alpha 115.57
_cell_angle_beta 115.57
_cell_angle_gamma 38.40
loop_
_symmetry_equiv_pos_as_xyz
'x,y,z'
loop_
_atom_site_label
_atom_site_type_symbol
_atom_site_fract_x
_atom_site_fract_y
_atom_site_fract_z
Y1 Y 0.000 0.000 0.000
Sb1 Sb 0.209 0.209 0.708
Sb2 Sb 0.791 0.791 0.292
Pt1 Pt 0.500 0.500 0.500
```

Properties
**Fermi-level density of states**: 2.8 states/eV per cell
**E**: -175.124 eV/f.u.
**Formation energy (no corrections)**: -2.57 eV per formula unit
**Calculated volume**: 91.3 Å³ per cell

---

Density functional theory data (SCAN) for a PBEsol-optimized structure of Y2SbPt.

CIF file:
```
data_Y2SbPt
_symmetry_space_group_name_H-M 'P 1'
_symmetry_Int_Tables_number 1
_cell_length_a 4.256
_cell_length_b 5.902
_cell_length_c 5.902
_cell_angle_alpha 40.42
_cell_angle_beta 90.00
_cell_angle_gamma 90.00
loop_
_symmetry_equiv_pos_as_xyz
'x,y,z'
loop_
_atom_site_label
_atom_site_type_symbol
_atom_site_fract_x
_atom_site_fract_y
_atom_site_fract_z
Y1 Y 0.000 0.000 0.000
Y2 Y 0.500 0.288 0.288
Sb1 Sb 0.500 0.571 0.571
Pt1 Pt 0.000 0.744 0.744
```

Properties
**Fermi-level density of states**: 1.5 states/eV per cell
**E**: -168.470 eV/f.u.
**Formation energy (no corrections)**: -5.33 eV per formula unit
**Calculated volume**: 96.1 Å³ per cell

---

Density functional theory data (SCAN) for a PBEsol-optimized structure of YSb3Pt.

CIF file:
```
data_YSb3Pt
_symmetry_space_group_name_H-M 'P 1'
_symmetry_Int_Tables_number 1
_cell_length_a 5.541
_cell_length_b 5.541
_cell_length_c 5.541
_cell_angle_alpha 90.00
_cell_angle_beta 90.00
_cell_angle_gamma 90.00
loop_
_symmetry_equiv_pos_as_xyz
'x,y,z'
loop_
_atom_site_label
_atom_site_type_symbol
_atom_site_fract_x
_atom_site_fract_y
_atom_site_fract_z
Y1 Y 0.000 0.000 0.000
Sb1 Sb 0.000 0.000 0.500
Sb2 Sb 0.000 0.500 0.000
Sb3 Sb 0.500 0.000 0.000
Pt1 Pt 0.500 0.500 0.500
```

Properties
**Fermi-level density of states**: 4.8 states/eV per cell
**E**: -204.359 eV/f.u.
**Formation energy (no corrections)**: 5.46 eV per formula unit
**Calculated volume**: 170.2 Å³ per cell

---

Density functional theory data (SCAN) for a PBEsol-optimized structure of YSb2Pt.

CIF file:
```
data_YSb2Pt
_symmetry_space_group_name_H-M 'P 1'
_symmetry_Int_Tables_number 1
_cell_length_a 5.678
_cell_length_b 5.678
_cell_length_c 5.678
_cell_angle_alpha 136.18
_cell_angle_beta 136.18
_cell_angle_gamma 63.71
loop_
_symmetry_equiv_pos_as_xyz
'x,y,z'
loop_
_atom_site_label
_atom_site_type_symbol
_atom_site_fract_x
_atom_site_fract_y
_atom_site_fract_z
Y1 Y 0.000 0.000 0.000
Sb1 Sb 0.250 0.750 0.500
Sb2 Sb 0.500 0.500 0.000
Pt1 Pt 0.750 0.250 0.500
```

Properties
**Fermi-level density of states**: 2.0 states/eV per cell
**E**: -175.137 eV/f.u.
**Formation energy (no corrections)**: -2.58 eV per formula unit
**Calculated volume**: 86.6 Å³ per cell

---

| no. | total magnetization (μB per formula unit) |
| --- | --- |
| 1 | 0.000 |
| 2 | 0.000 |
| 3 | 0.000 |
| 4 | 0.000 |